POsSe: relaxed, PBE-GGA.

abc: 8.3303 8.0772 2.9102
angles: 84.73 74.91 20.36
Positions (direct):
P  0.3780  0.3780  0.6220
Os  0.9879  0.9879  0.0121
Se  0.6341  0.6341  0.3659

Formation energy (no corrections) in eV/atom: 0.4725
Crystal system: orthorhombic
SG: Fmm2 (42)
Electronic total energy in eV for the cell shown: -18.7